1.
{"formula": "Cs3Li2ReO6", "functional": "GGA-PBE", "state": "relaxed", "spacegroup": "No. 12", "m_tot_mub_per_fu": 0.00, "e_tot_ev_per_atom": -5.538, "lattice": [[2.9296, -5.2391, 0.0000], [2.9296, 5.2391, 0.0000], [-1.7037, 0.0000, 6.4297]], "species": ["O", "Cs", "Cs", "O", "Cs", "O", "Li", "Li", "O", "O", "Re", "O"], "frac_coords": [[0.3318, 0.0669, 0.1542], [0.5000, 0.5000, 0.5000], [0.1739, 0.8261, 0.5000], [0.0669, 0.3318, 0.1542], [0.8261, 0.1739, 0.5000], [0.1977, 0.1977, 0.8121], [0.3277, 0.6723, 0.0000], [0.6723, 0.3277, 0.0000], [0.6682, 0.9331, 0.8458], [0.9331, 0.6682, 0.8458], [0.0000, 0.0000, 0.0000], [0.8023, 0.8023, 0.1879]]}

2.
{"formula": "Sc4Tl2In3Ni2", "functional": "GGA-PBE", "state": "relaxed", "spacegroup": "No. 10", "m_tot_mub_per_fu": 0.02, "e_tot_ev_per_atom": -4.889, "lattice": [[7.5645, 0.0000, 0.0000], [0.0000, 3.3405, 0.0000], [-0.7788, 0.0000, 9.1732]], "species": ["In", "Ni", "Tl", "Sc", "Ni", "Sc", "In", "In", "Sc", "Sc", "Tl"], "frac_coords": [[0.5457, 0.0000, 0.3351], [0.9248, 0.0000, 0.3693], [0.8456, 0.0000, 0.8576], [0.7967, 0.5000, 0.5624], [0.0752, 0.0000, 0.6307], [0.2033, 0.5000, 0.4376], [0.4543, 0.0000, 0.6649], [0.5000, 0.0000, 0.0000], [0.8124, 0.5000, 0.1591], [0.1876, 0.5000, 0.8409], [0.1544, 0.0000, 0.1424]]}

3.
{"formula": "Zn4Te3", "functional": "GGA-PBE", "state": "relaxed", "spacegroup": "No. 176", "e_tot_ev_per_atom": -2.151, "lattice": [[5.5490, 6.4064, 0.0000], [-2.7747, 8.0081, 0.0000], [0.0000, 0.0000, 5.7236]], "species": ["Zn", "Te", "Zn", "Zn", "Zn", "Zn", "Zn", "Te", "Te", "Zn", "Te", "Te", "Te", "Zn"], "frac_coords": [[0.0952, 0.5238, 0.5000], [0.0414, 0.2842, 0.0000], [0.0024, 0.2674, 0.5000], [0.4286, 0.8571, 0.0000], [0.4445, 0.4309, 0.5000], [0.5215, 0.1136, 0.0000], [0.0795, 0.9498, 0.0000], [0.1349, 0.9110, 0.5000], [0.4823, 0.0967, 0.5000], [0.8386, 0.8731, 0.5000], [0.8556, 0.8173, 0.0000], [0.3888, 0.4700, 0.0000], [0.6682, 0.5636, 0.5000], [0.6851, 0.5080, 0.0000]]}